No. 1
This record from the Alexandria database describes a relaxed structure of Rb4Er3VO8. The functional is GGA+U.

a = 6.7753 Å, b = 7.6066 Å, c = 6.8339 Å
α = 116.72°, β = 119.72°, γ = 90.00°
Each line ends with the local moment (μB).
Positions (direct):
Rb1 0.5000 0.0000 0.5000  0.00
Rb2 0.0000 0.0000 0.5000  0.00
Rb3 0.0000 0.0000 0.0000  0.00
Rb4 0.5000 0.0000 0.0000  0.00
O1 0.7428 0.6677 0.9547  -0.01
O2 0.2763 0.3253 0.5526  0.00
O3 0.7744 0.3224 0.5488  0.00
O4 0.7881 0.3323 0.0453  -0.01
O5 0.7237 0.6747 0.4474  0.00
O6 0.2256 0.6776 0.4512  0.00
O7 0.2572 0.3323 0.0453  -0.01
O8 0.2119 0.6677 0.9547  -0.01
Er1 0.5000 0.5000 0.5000  0.00
Er2 0.0000 0.5000 0.5000  0.00
Er3 0.5000 0.5000 0.0000  0.00
V1 0.0000 0.5000 0.0000  1.92

Values from the calculation:
E ... -6.4908 eV per atom
Space-group type ... No. 12
D(E_F) ... 0.000 states/eV/f.u.

---

No. 2
This record from the Alexandria database describes a relaxed structure of NbCrCd2O6. The functional is GGA+U.

a = 4.1076 Å, b = 5.5792 Å, c = 5.5792 Å
α = 90.00°, β = 90.00°, γ = 90.00°
Each line ends with the local moment (μB).
Positions (direct):
Cd1 0.0404 0.5000 0.0000  0.02
Cd2 0.0404 0.0000 0.5000  0.02
O1 0.6884 0.7512 0.7512  -0.01
O2 0.1694 0.5000 0.5000  -0.05
O3 0.6884 0.2488 0.7512  -0.01
O4 0.6884 0.7512 0.2488  -0.01
O5 0.6884 0.2488 0.2488  -0.01
O6 0.1616 0.0000 0.0000  0.01
Nb1 0.6200 0.0000 0.0000  0.01
Cr1 0.6615 0.5000 0.5000  2.90

Values from the calculation:
E ... -6.5276 eV per atom
Space-group type ... No. 99
D(E_F) ... 1.016 states/eV/f.u.

---

Q: Among the records above, which one has the lowest E?
A: NbCrCd2O6

---

Q: What is the D(E_F) in the first record?
A: 0.000 states/eV/f.u.